Entry 1:
Density functional theory data (PBE) for a geometry-optimized Fe2CuNi structure.

Lattice parameters (Å, degrees): 2.5255 2.5255 25.2348 90.00 90.00 120.00
Space group R3m (No. 160, hexagonal axes)
Inequivalent atoms, fractional coordinates:
Fe 0.0000 0.0000 0.0000 [3 per cell]
Fe 0.0000 0.0000 0.2476 [3 per cell]
Cu 0.0000 0.0000 0.4964 [3 per cell]
Ni 0.0000 0.0000 0.7466 [3 per cell]

Offset from the most stable computed form = 0.013 eV/atom

Entry 2:
Density functional theory data (PBE) for a geometry-optimized Fe2CuNi8 structure.

Lattice parameters (Å, degrees): 12.763 3.560 5.574 90.00 104.99 90.00
Space group C2/m (No. 12)
Inequivalent atoms, fractional coordinates:
Fe 0.139 0.000 0.186 [4 per cell]
Cu 0.000 0.500 0.000 [2 per cell]
Ni 0.046 0.000 0.729 [4 per cell]
Ni 0.090 0.500 0.455 [4 per cell]
Ni 0.182 0.500 0.906 [4 per cell]
Ni 0.229 0.000 0.637 [4 per cell]

Offset from the most stable computed form = 0.000 eV/atom

Entry 3:
Density functional theory data (PBE) for a geometry-optimized Fe4CuNi12 structure.

Lattice parameters (Å, degrees): 7.363 7.363 7.363 90.00 90.00 90.00
Space group Im-3m (No. 229)
Inequivalent atoms, fractional coordinates:
Fe 0.250 0.250 0.250 [8 per cell]
Cu 0.000 0.000 0.000 [2 per cell]
Ni 0.000 0.000 0.299 [12 per cell]
Ni 0.000 0.250 0.500 [12 per cell]

Entry 4:
Density functional theory data (PBE) for a geometry-optimized FeCuNi14 structure.

Lattice parameters (Å, degrees): 8.157 4.997 8.642 90.00 90.00 90.00
Space group Amm2 (No. 38)
Inequivalent atoms, fractional coordinates:
Fe 0.000 0.000 0.000 [2 per cell]
Cu 0.000 0.000 0.500 [2 per cell]
Ni 0.000 0.250 0.249 [4 per cell]
Ni 0.249 0.000 0.833 [4 per cell]
Ni 0.250 0.249 0.083 [8 per cell]
Ni 0.251 0.000 0.332 [4 per cell]
Ni 0.500 0.000 0.166 [2 per cell]
Ni 0.500 0.000 0.666 [2 per cell]
Ni 0.500 0.250 0.416 [4 per cell]

Entry 5:
Density functional theory data (PBE) for a geometry-optimized FeCu2Ni structure.

Lattice parameters (Å, degrees): 3.605 3.605 7.173 90.00 90.00 90.00
Space group I-4m2 (No. 119)
Inequivalent atoms, fractional coordinates:
Fe 0.000 0.000 0.000 [2 per cell]
Cu 0.000 0.000 0.500 [2 per cell]
Cu 0.000 0.500 0.750 [2 per cell]
Ni 0.000 0.500 0.250 [2 per cell]

Entry 6:
Density functional theory data (PBE) for a geometry-optimized Fe2CuNi8 structure.

Lattice parameters (Å, degrees): 6.427 12.383 4.280 90.00 130.15 90.00
Space group C2/m (No. 12)
Inequivalent atoms, fractional coordinates:
Fe 0.000 0.185 0.000 [4 per cell]
Cu 0.000 0.500 0.500 [2 per cell]
Ni 0.000 0.303 0.500 [4 per cell]
Ni 0.037 0.000 0.281 [4 per cell]
Ni 0.239 0.365 0.224 [8 per cell]

Offset from the most stable computed form = 0.205 eV/atom

Calculated energy of formation (kJ per mole of atoms), listed in the same order as above: 4.8; -2.9; 15.5; 0.5; 6.7; 16.9
Calculated magnetization (μB/atom), listed in the same order as above: 1.41; 0.93; 1.13; 0.74; 0.88; 0.93
Calculated DOS(E_F) (states/eV/f.u.), listed in the same order as above: 2.38; 12.48; 16.00; 22.94; 3.48; 12.78